Record 1
VASP calculation (PBE) on a relaxed structure of Rb2BrCl6.

Space-group type: No. 12
Formation energy without anion corrections, meV/atom: -781
E above lowest polymorph, eV/atom: 0.0000

a = 7.040 Å, b = 7.606 Å, c = 7.606 Å
α = 55.17°, β = 62.66°, γ = 62.66°
Fractional positions:
Br: 0.000 0.000 0.000
Cl: 0.238 0.243 0.763
Cl: 0.259 0.744 0.744
Cl: 0.762 0.757 0.237
Cl: 0.741 0.256 0.256
Cl: 0.238 0.763 0.243
Cl: 0.762 0.237 0.757
Rb: 0.751 0.750 0.750
Rb: 0.249 0.250 0.250

Record 2
VASP calculation (PBE) on a relaxed structure of RbBr2Cl2.

Space-group type: No. 127
Formation energy without anion corrections, meV/atom: -723
E above lowest polymorph, eV/atom: 0.0000

a = 8.795 Å, b = 8.795 Å, c = 5.109 Å
α = 90.00°, β = 90.00°, γ = 90.00°
Fractional positions:
Cl: 0.336 0.836 0.000
Cl: 0.664 0.164 0.000
Cl: 0.836 0.664 0.000
Cl: 0.164 0.336 0.000
Br: 0.171 0.329 0.500
Br: 0.829 0.671 0.500
Br: 0.671 0.171 0.500
Br: 0.329 0.829 0.500
Rb: 0.000 0.000 0.000
Rb: 0.500 0.500 0.000

Record 3
VASP calculation (PBE) on a relaxed structure of RbBr2Cl2.

Space-group type: No. 127
Formation energy without anion corrections, meV/atom: -558
E above lowest polymorph, eV/atom: 0.1650

a = 8.961 Å, b = 8.961 Å, c = 4.141 Å
α = 90.00°, β = 90.00°, γ = 90.00°
Fractional positions:
Cl: 0.265 0.235 0.500
Cl: 0.235 0.735 0.500
Cl: 0.765 0.265 0.500
Cl: 0.735 0.765 0.500
Br: 0.092 0.408 0.000
Br: 0.908 0.592 0.000
Br: 0.592 0.092 0.000
Br: 0.408 0.908 0.000
Rb: 0.500 0.500 0.000
Rb: 0.000 0.000 0.000

Record 4
VASP calculation (PBE) on a relaxed structure of RbBrCl3.

Space-group type: No. 99
Formation energy without anion corrections, meV/atom: -357
E above lowest polymorph, eV/atom: 0.4787

a = 4.156 Å, b = 4.156 Å, c = 9.506 Å
α = 90.00°, β = 90.00°, γ = 90.00°
Fractional positions:
Br: 0.500 0.500 0.767
Rb: 0.000 0.000 0.078
Cl: 0.000 0.500 0.334
Cl: 0.000 0.000 0.751
Cl: 0.500 0.000 0.334

Record 5
VASP calculation (PBE) on a relaxed structure of RbBrCl3.

Space-group type: No. 38
Formation energy without anion corrections, meV/atom: -727
E above lowest polymorph, eV/atom: 0.1088

a = 4.988 Å, b = 8.860 Å, c = 8.860 Å
α = 147.44°, β = 90.00°, γ = 90.00°
Fractional positions:
Cl: 0.500 0.155 0.341
Cl: 0.000 0.141 0.859
Cl: 0.500 0.659 0.845
Rb: 0.000 0.510 0.490
Br: 0.500 0.163 0.837

Record 6
VASP calculation (PBE) on a relaxed structure of RbBr2Cl2.

Space-group type: No. 139
Formation energy without anion corrections, meV/atom: -439
E above lowest polymorph, eV/atom: 0.2849

a = 5.890 Å, b = 5.890 Å, c = 6.679 Å
α = 63.84°, β = 63.84°, γ = 90.00°
Fractional positions:
Br: 0.610 0.610 0.779
Br: 0.390 0.390 0.221
Cl: 0.250 0.750 0.500
Cl: 0.750 0.250 0.500
Rb: 0.000 0.000 0.000

Record 7
VASP calculation (PBE) on a relaxed structure of Rb3BrCl6.

Space-group type: No. 139
Formation energy without anion corrections, meV/atom: -1042
E above lowest polymorph, eV/atom: 0.1102

a = 7.683 Å, b = 7.683 Å, c = 8.645 Å
α = 63.62°, β = 63.62°, γ = 90.00°
Fractional positions:
Rb: 0.000 0.000 0.000
Rb: 0.750 0.250 0.500
Rb: 0.250 0.750 0.500
Cl: 0.282 0.282 0.000
Cl: 0.767 0.767 0.465
Cl: 0.233 0.233 0.535
Cl: 0.718 0.282 0.000
Cl: 0.282 0.718 0.000
Cl: 0.718 0.718 0.000
Br: 0.500 0.500 0.000

Record 8
VASP calculation (PBE) on a relaxed structure of RbBrCl3.

Space-group type: No. 1
Formation energy without anion corrections, meV/atom: -793
E above lowest polymorph, eV/atom: 0.0424

a = 8.442 Å, b = 4.819 Å, c = 9.411 Å
α = 91.77°, β = 82.09°, γ = 101.74°
Fractional positions:
Rb: 0.903 0.940 0.490
Rb: 0.267 0.100 0.799
Cl: 0.749 0.587 0.829
Cl: 0.230 0.837 0.150
Cl: 0.931 0.469 0.207
Cl: 0.038 0.499 0.679
Cl: 0.493 0.728 0.566
Cl: 0.700 0.210 0.256
Br: 0.368 0.786 0.363
Br: 0.520 0.675 0.963

Record 9
VASP calculation (PBE) on a relaxed structure of RbBr4Cl6.

Space-group type: No. 1
Formation energy without anion corrections, meV/atom: -338

a = 10.029 Å, b = 13.303 Å, c = 12.163 Å
α = 149.88°, β = 146.43°, γ = 40.22°
Fractional positions:
Cl: 0.443 0.575 0.545
Cl: 0.488 0.223 0.998
Cl: 0.813 0.453 0.998
Cl: 0.160 0.550 0.637
Cl: 0.529 0.914 0.369
Cl: 0.892 0.029 0.449
Br: 0.643 0.848 0.998
Br: 0.471 0.060 0.635
Br: 0.834 0.425 0.365
Br: 0.120 0.357 0.998
Rb: 0.106 0.066 0.008

Record 10
VASP calculation (PBE) on a relaxed structure of RbBrCl4.

Space-group type: No. 2
Formation energy without anion corrections, meV/atom: -654
E above lowest polymorph, eV/atom: 0.0000

a = 10.408 Å, b = 6.375 Å, c = 8.088 Å
α = 97.90°, β = 103.02°, γ = 113.06°
Fractional positions:
Cl: 0.335 0.814 0.682
Cl: 0.854 0.643 0.761
Cl: 0.525 0.816 0.188
Cl: 0.124 0.329 0.932
Cl: 0.876 0.671 0.068
Cl: 0.475 0.184 0.812
Cl: 0.146 0.357 0.239
Cl: 0.665 0.186 0.318
Br: 0.164 0.369 0.539
Br: 0.836 0.631 0.461
Rb: 0.224 0.911 0.046
Rb: 0.776 0.089 0.954

Record 11
VASP calculation (PBE) on a relaxed structure of Rb2BrCl2.

Space-group type: No. 12
Formation energy without anion corrections, meV/atom: -1423
E above lowest polymorph, eV/atom: 0.0000

a = 6.320 Å, b = 6.795 Å, c = 5.508 Å
α = 96.61°, β = 125.03°, γ = 90.01°
Fractional positions:
Br: 0.500 0.000 0.500
Cl: 0.200 0.732 0.900
Cl: 0.800 0.268 0.100
Rb: 0.175 0.238 0.851
Rb: 0.825 0.762 0.149

Record 12
VASP calculation (PBE) on a relaxed structure of Rb8Br3Cl4.

Space-group type: No. 12
Formation energy without anion corrections, meV/atom: -1705

a = 9.711 Å, b = 9.722 Å, c = 9.722 Å
α = 90.03°, β = 119.93°, γ = 119.93°
Fractional positions:
Cl: 0.000 0.000 0.000
Cl: 0.000 0.500 0.000
Cl: 0.000 0.000 0.500
Cl: 0.500 0.000 0.000
Rb: 0.007 0.757 0.757
Rb: 0.511 0.760 0.760
Rb: 0.993 0.243 0.243
Rb: 0.000 0.755 0.245
Rb: 0.500 0.754 0.246
Rb: 0.500 0.246 0.754
Rb: 0.000 0.245 0.755
Rb: 0.489 0.240 0.240
Br: 0.500 0.500 0.500
Br: 0.500 0.500 0.000
Br: 0.500 0.000 0.500